Record 1
# GGA-PBE HgTeP2H6, optimized geometry
data_HgTeP2H6
_cell_length_a 9.945
_cell_length_b 8.838
_cell_length_c 7.484
_cell_angle_alpha 90.00
_cell_angle_beta 91.36
_cell_angle_gamma 90.00
_space_group_name_H-M_alt 'C 1 2/c 1'
_space_group_IT_number 15
loop_
_space_group_symop_operation_xyz
'x,y,z'
'-x,-y,-z'
'-x,y,-z+1/2'
'x,-y,z+1/2'
'x+1/2,y+1/2,z'
'-x+1/2,-y+1/2,-z'
'-x+1/2,y+1/2,-z+1/2'
'x+1/2,-y+1/2,z+1/2'
loop_
_atom_site_label
_atom_site_fract_x
_atom_site_fract_y
_atom_site_fract_z
Hg1 0.000 0.082 0.250
Te1 0.000 0.295 0.750
P1 0.188 0.446 0.255
H1 0.119 0.372 0.110
H2 0.120 0.371 0.395
H3 0.194 0.163 0.744
# * V: 16.44 A^3/atom
# * crystal system: monoclinic
# * E: -3.302 eV per atom

=====

Record 2
# GGA-PBE HgP2HW, optimized geometry
data_HgP2HW
_cell_length_a 4.535
_cell_length_b 4.535
_cell_length_c 3.424
_cell_angle_alpha 90.00
_cell_angle_beta 90.00
_cell_angle_gamma 90.00
_space_group_name_H-M_alt 'P 4/m m m'
_space_group_IT_number 123
_space_group_name_Hall '-P 4 2'
loop_
_atom_site_label
_atom_site_fract_x
_atom_site_fract_y
_atom_site_fract_z
Hg1 0.000 0.000 0.000
P1 0.000 0.500 0.500
H1 0.500 0.500 0.500
W1 0.500 0.500 0.000
# * V: 14.08 A^3/atom
# * crystal system: tetragonal
# * E: -4.680 eV per atom

=====

Record 3
# GGA-PBE PaHgH, optimized geometry
data_PaHgH
_cell_length_a 7.325
_cell_length_b 3.191
_cell_length_c 9.452
_cell_angle_alpha 90.00
_cell_angle_beta 91.72
_cell_angle_gamma 90.00
_space_group_name_H-M_alt 'C 1 2/m 1'
_space_group_IT_number 12
loop_
_space_group_symop_operation_xyz
'x,y,z'
'-x,-y,-z'
'-x,y,-z'
'x,-y,z'
'x+1/2,y+1/2,z'
'-x+1/2,-y+1/2,-z'
'-x+1/2,y+1/2,-z'
'x+1/2,-y+1/2,z'
loop_
_atom_site_label
_atom_site_fract_x
_atom_site_fract_y
_atom_site_fract_z
Pa1 0.087 0.000 0.367
Hg1 0.136 0.500 0.885
H1 0.208 0.000 0.585
# * V: 18.40 A^3/atom
# * ΔE to the lowest computed polymorph: 46 meV per atom
# * crystal system: monoclinic

=====

Record 4
# GGA-PBE PaHgH, optimized geometry
data_PaHgH
_cell_length_a 3.552
_cell_length_b 4.639
_cell_length_c 6.732
_cell_angle_alpha 90.00
_cell_angle_beta 105.46
_cell_angle_gamma 90.00
_space_group_name_H-M_alt 'P 1 21/m 1'
_space_group_IT_number 11
loop_
_space_group_symop_operation_xyz
'x,y,z'
'-x,-y,-z'
'-x,y+1/2,-z'
'x,-y+1/2,z'
loop_
_atom_site_label
_atom_site_fract_x
_atom_site_fract_y
_atom_site_fract_z
Pa1 0.168 0.250 0.337
Hg1 0.437 0.250 0.870
H1 0.228 0.750 0.456
# * V: 17.82 A^3/atom
# * ΔE to the lowest computed polymorph: 0 meV per atom
# * crystal system: monoclinic

=====

Record 5
# GGA-PBE PaHgH, optimized geometry
data_PaHgH
_cell_length_a 3.2869
_cell_length_b 3.2869
_cell_length_c 5.6521
_cell_angle_alpha 90.00
_cell_angle_beta 90.00
_cell_angle_gamma 120.00
_space_group_name_H-M_alt 'P 3 m 1'
_space_group_IT_number 156
loop_
_space_group_symop_operation_xyz
'x,y,z'
'-y,x-y,z'
'-x+y,-x,z'
'-y,-x,z'
'-x+y,y,z'
'x,x-y,z'
loop_
_atom_site_label
_atom_site_fract_x
_atom_site_fract_y
_atom_site_fract_z
Pa1 0.0000 0.0000 0.0000
Hg1 0.3333 0.6667 0.5190
H1 0.6667 0.3333 0.1993
# * V: 17.63 A^3/atom
# * ΔE to the lowest computed polymorph: 45 meV per atom
# * crystal system: trigonal

=====

Record 6
# GGA-PBE PaHgH3, optimized geometry
data_PaHgH3
_cell_length_a 4.074
_cell_length_b 4.074
_cell_length_c 4.074
_cell_angle_alpha 90.00
_cell_angle_beta 90.00
_cell_angle_gamma 90.00
_space_group_name_H-M_alt 'P m -3 m'
_space_group_IT_number 221
_space_group_name_Hall '-P 4 2 3'
loop_
_atom_site_label
_atom_site_fract_x
_atom_site_fract_y
_atom_site_fract_z
Pa1 0.000 0.000 0.000
Hg1 0.500 0.500 0.500
H1 0.000 0.000 0.500
# * V: 13.53 A^3/atom
# * crystal system: cubic
# * E: -3.997 eV per atom

=====

Record 7
# GGA-PBE PaHgH, optimized geometry
data_PaHgH
_cell_length_a 3.152
_cell_length_b 3.152
_cell_length_c 11.116
_cell_angle_alpha 90.00
_cell_angle_beta 90.00
_cell_angle_gamma 90.00
_space_group_name_H-M_alt 'I 4 m m'
_space_group_IT_number 107
_space_group_name_Hall 'I 4 -2'
loop_
_atom_site_label
_atom_site_fract_x
_atom_site_fract_y
_atom_site_fract_z
Pa1 0.000 0.000 0.000
Hg1 0.000 0.000 0.281
H1 0.000 0.000 0.562
# * V: 18.40 A^3/atom
# * ΔE to the lowest computed polymorph: 226 meV per atom
# * crystal system: tetragonal

=====

Record 8
# GGA-PBE Pa3HgH3, optimized geometry
data_Pa3HgH3
_cell_length_a 6.151
_cell_length_b 6.151
_cell_length_c 6.151
_cell_angle_alpha 90.00
_cell_angle_beta 90.00
_cell_angle_gamma 90.00
_space_group_name_H-M_alt 'P m -3 n'
_space_group_IT_number 223
_space_group_name_Hall '-P 4n 2 3'
loop_
_atom_site_label
_atom_site_fract_x
_atom_site_fract_y
_atom_site_fract_z
Pa1 0.000 0.250 0.500
Hg1 0.000 0.000 0.000
H1 0.000 0.500 0.250
# * V: 16.62 A^3/atom
# * crystal system: cubic
# * E: -5.590 eV per atom

=====

Record 9
# GGA-PBE PaHgH2, optimized geometry
data_PaHgH2
_cell_length_a 3.2921
_cell_length_b 3.2921
_cell_length_c 19.5995
_cell_angle_alpha 90.00
_cell_angle_beta 90.00
_cell_angle_gamma 120.00
_space_group_name_H-M_alt 'R -3 m'
_space_group_IT_number 166
_space_group_name_Hall '-R 3 2"'
loop_
_atom_site_label
_atom_site_fract_x
_atom_site_fract_y
_atom_site_fract_z
Pa1 0.0000 0.0000 0.0000
Hg1 0.0000 0.0000 0.5000
H1 0.0000 0.0000 0.3896
# * V: 15.33 A^3/atom
# * crystal system: trigonal
# * E: -4.114 eV per atom

=====

Record 10
# GGA-PBE Hg2HPb, optimized geometry
data_Hg2HPb
_cell_length_a 5.415
_cell_length_b 5.415
_cell_length_c 12.984
_cell_angle_alpha 90.00
_cell_angle_beta 90.00
_cell_angle_gamma 90.00
_space_group_name_H-M_alt 'I -4 2 d'
_space_group_IT_number 122
_space_group_name_Hall 'I -4 2bw'
loop_
_atom_site_label
_atom_site_fract_x
_atom_site_fract_y
_atom_site_fract_z
Hg1 0.100 0.250 0.125
H1 0.000 0.000 0.000
Pb1 0.000 0.000 0.500
# * V: 23.79 A^3/atom
# * ΔE to the lowest computed polymorph: 138 meV per atom
# * crystal system: tetragonal

=====

Record 11
# GGA-PBE Hg3H2Pb2, optimized geometry
data_Hg3H2Pb2
_cell_length_a 3.346
_cell_length_b 5.866
_cell_length_c 9.508
_cell_angle_alpha 73.63
_cell_angle_beta 82.27
_cell_angle_gamma 79.99
_space_group_name_H-M_alt 'P -1'
_space_group_IT_number 2
loop_
_space_group_symop_operation_xyz
'x,y,z'
'-x,-y,-z'
loop_
_atom_site_label
_atom_site_fract_x
_atom_site_fract_y
_atom_site_fract_z
Hg1 0.000 0.000 0.000
Hg2 0.281 0.396 0.665
H1 0.276 0.731 0.006
Pb1 0.288 0.110 0.342
# * V: 25.09 A^3/atom
# * crystal system: triclinic
# * E: -1.956 eV per atom

=====

Record 12
# GGA-PBE Hg5H2Pb, optimized geometry
data_Hg5H2Pb
_cell_length_a 5.576
_cell_length_b 6.088
_cell_length_c 6.230
_cell_angle_alpha 98.52
_cell_angle_beta 108.45
_cell_angle_gamma 115.78
_space_group_name_H-M_alt 'P -1'
_space_group_IT_number 2
loop_
_space_group_symop_operation_xyz
'x,y,z'
'-x,-y,-z'
loop_
_atom_site_label
_atom_site_fract_x
_atom_site_fract_y
_atom_site_fract_z
Hg1 0.000 0.000 0.000
Hg2 0.277 0.607 0.960
Hg3 0.278 0.940 0.615
H1 0.073 0.364 0.629
Pb1 0.500 0.500 0.500
# * V: 21.28 A^3/atom
# * crystal system: triclinic
# * E: -1.258 eV per atom